[1]
The following is a PBE-GGA calculation of MgBeF after structural relaxation, from Alexandria.

abc: 2.889 3.810 6.791
angles: 90.00 90.00 90.00
Fractional coordinates of all 6 atoms:
Mg 0.250 0.250 0.177
Mg 0.750 0.750 0.823
Be 0.250 0.750 0.495
Be 0.750 0.250 0.505
F 0.250 0.750 0.040
F 0.750 0.250 0.960

## Properties
Calculated density = 2.3 g cm⁻³
Total magnetic moment = 0.0 μB per formula unit
Formation energy (no corrections) = -1.335 eV/atom
Excess energy over the best structure of this formula in the dataset = 10 meV per atom

[2]
The following is a PBE-GGA calculation of CoGeTe2 after structural relaxation, from Alexandria.

abc: 3.219 3.219 31.269
angles: 90.00 90.00 120.00
Fractional coordinates of all 12 atoms:
Co 0.000 0.000 0.000
Co 0.333 0.667 0.667
Co 0.667 0.333 0.333
Ge 0.000 0.000 0.500
Ge 0.333 0.667 0.167
Ge 0.667 0.333 0.833
Te 0.000 0.000 0.078
Te 0.000 0.000 0.922
Te 0.333 0.667 0.588
Te 0.333 0.667 0.745
Te 0.667 0.333 0.255
Te 0.667 0.333 0.412

## Properties
Calculated density = 6.9 g cm⁻³
Total magnetic moment = 1.5 μB per formula unit
Formation energy (no corrections) = 0.643 eV/atom

What did the second record say?
The following is a PBE-GGA calculation of CoGeTe2 after structural relaxation, from Alexandria.

abc: 3.219 3.219 31.269
angles: 90.00 90.00 120.00
Fractional coordinates of all 12 atoms:
Co 0.000 0.000 0.000
Co 0.333 0.667 0.667
Co 0.667 0.333 0.333
Ge 0.000 0.000 0.500
Ge 0.333 0.667 0.167
Ge 0.667 0.333 0.833
Te 0.000 0.000 0.078
Te 0.000 0.000 0.922
Te 0.333 0.667 0.588
Te 0.333 0.667 0.745
Te 0.667 0.333 0.255
Te 0.667 0.333 0.412

## Properties
Calculated density = 6.9 g cm⁻³
Total magnetic moment = 1.5 μB per formula unit
Formation energy (no corrections) = 0.643 eV/atom